{"formula": "Zr2NbBiH", "functional": "GGA-PBE", "state": "relaxed", "n_ef_per_ev_atom": 0.7326, "final_energy_ev_per_atom": -7.118, "cell": [[4.678, 0.000, 0.000], [0.000, 4.678, 0.000], [0.000, 0.000, 4.056]], "species": ["H", "Nb", "Bi", "Zr", "Zr"], "frac_coords": [[0.000, 0.000, 0.000], [0.000, 0.000, 0.500], [0.500, 0.500, 0.500], [0.000, 0.500, 0.000], [0.500, 0.000, 0.000]]}